Entry from Alexandria: crystalline V5Co8Ge at its relaxed geometry (PBE).

ΔE_f in eV per atom: 0.1076
Electronic total energy in hartree per atom: -0.2771

Lattice parameters (Å, degrees): 6.074 6.074 6.074 107.53 107.53 113.42
Fractional coordinates of all 14 atoms:
V 0.000 0.000 0.000
V 0.208 0.493 0.928
V 0.507 0.435 0.714
V 0.565 0.280 0.072
V 0.720 0.792 0.286
Co 0.118 0.049 0.675
Co 0.374 0.443 0.325
Co 0.437 0.021 0.279
Co 0.557 0.882 0.931
Co 0.742 0.158 0.721
Co 0.842 0.563 0.584
Co 0.951 0.626 0.069
Co 0.979 0.258 0.416
Ge 0.250 0.750 0.500